Density functional theory data (PBE) for a relaxed NiRh2Cl crystal.

```
data_NiRh2Cl
_chemical_formula_sum 'Ni1 Rh2 Cl1'
_space_group_name_H-M_alt 'P 1'
_space_group_IT_number 1
_cell_length_a 3.0095
_cell_length_b 3.0095
_cell_length_c 6.5262
_cell_angle_alpha 90.00
_cell_angle_beta 90.00
_cell_angle_gamma 90.00
loop_
_space_group_symop_operation_xyz
'x,y,z'
loop_
_atom_site_label
_atom_site_fract_x
_atom_site_fract_y
_atom_site_fract_z
_atom_site_occupancy
Ni1 0.0000 0.0000 0.0000 1
Rh1 0.5000 0.5000 0.2126 1
Rh2 0.5000 0.5000 0.7874 1
Cl1 0.0000 0.0000 0.5000 1
```

Output
* uncorrected energy: -20.9 eV/cell